## i
## VCd3Pb (PBE)

Data for an optimized crystal structure of VCd3Pb.

Computed properties:
Spin magnetization in Bohr magnetons per cell: 3.2

Cell: 5.282 5.282 5.282 Å, 90.00 90.00 90.00°
Positions (direct):
Pb (0.500, 0.500, 0.500)
Cd (0.000, 0.500, 0.000)
Cd (0.000, 0.000, 0.500)
Cd (0.500, 0.000, 0.000)
V (0.000, 0.000, 0.000)

***

## ii
## VCd3Pb (PBE)

Data for an optimized crystal structure of VCd3Pb.

Computed properties:
Spin magnetization in Bohr magnetons per cell: 4.6

Cell: 5.596 5.596 5.596 Å, 90.00 90.00 90.00°
Positions (direct):
Pb (0.000, 0.000, 0.000)
Cd (0.000, 0.500, 0.000)
Cd (0.000, 0.000, 0.500)
Cd (0.500, 0.000, 0.000)
V (0.500, 0.500, 0.500)

***

Most stable structure - i; separation to the second - 40.6 kJ/mol of atoms.

***

## i
## CdPbW2 (PBE)

Data for an optimized crystal structure of CdPbW2.

Computed properties:
Spin magnetization in Bohr magnetons per cell: 0.0

Cell: 4.775 4.775 4.775 Å, 60.00 60.00 60.00°
Positions (direct):
Pb (0.250, 0.250, 0.250)
W (0.000, 0.000, 0.000)
W (0.750, 0.750, 0.750)
Cd (0.500, 0.500, 0.500)

***

## ii
## CdPbW2 (PBE)

Data for an optimized crystal structure of CdPbW2.

Computed properties:
Spin magnetization in Bohr magnetons per cell: 0.0

Cell: 9.962 9.962 9.962 Å, 17.37 17.37 17.37°
Positions (direct):
Pb (0.750, 0.750, 0.750)
W (0.999, 0.999, 0.999)
W (0.501, 0.501, 0.501)
Cd (0.250, 0.250, 0.250)

***

Most stable structure - ii; separation to the second - 4.9 kJ/mol of atoms.

***

## i
## CdPbW2 (PBE)

Data for an optimized crystal structure of CdPbW2.

Computed properties:
Spin magnetization in Bohr magnetons per cell: 0.0

Cell: 2.967 2.967 10.423 Å, 90.00 90.00 112.74°
Positions (direct):
Pb (0.500, 0.500, 0.780)
W (0.000, 0.000, 0.034)
W (0.500, 0.500, 0.224)
Cd (0.000, 0.000, 0.462)

***

## ii
## CdPbW2 (PBE)

Data for an optimized crystal structure of CdPbW2.

Computed properties:
Spin magnetization in Bohr magnetons per cell: 0.0

Cell: 5.621 5.621 5.621 Å, 145.78 129.25 62.64°
Positions (direct):
Pb (0.250, 0.750, 0.500)
W (0.004, 0.004, 0.000)
W (0.496, 0.496, 0.000)
Cd (0.750, 0.250, 0.500)

***

## iii
## CdPbW2 (PBE)

Data for an optimized crystal structure of CdPbW2.

Computed properties:
Spin magnetization in Bohr magnetons per cell: 0.0

Cell: 5.716 5.716 5.716 Å, 145.64 129.12 62.84°
Positions (direct):
Pb (0.236, 0.736, 0.500)
W (0.972, 0.972, 0.000)
W (0.780, 0.280, 0.500)
Cd (0.512, 0.512, 0.000)

***

## iv
## CdPbW2 (PBE)

Data for an optimized crystal structure of CdPbW2.

Computed properties:
Spin magnetization in Bohr magnetons per cell: 0.0

Cell: 2.867 2.867 9.513 Å, 90.00 90.00 90.00°
Positions (direct):
Pb (0.500, 0.500, 0.750)
W (0.000, 0.000, 0.012)
W (0.000, 0.000, 0.488)
Cd (0.500, 0.500, 0.250)

***

Most stable structure - i; separation to the second - 29.5 kJ/mol of atoms.

***

## i
## YCd2Pb2 (PBE)

Data for an optimized crystal structure of YCd2Pb2.

Computed properties:
Spin magnetization in Bohr magnetons per cell: 0.0

Cell: 4.283 4.283 8.233 Å, 74.92 74.92 90.00°
Positions (direct):
Pb (0.398, 0.398, 0.204)
Pb (0.602, 0.602, 0.796)
Y (0.000, 0.000, 0.000)
Cd (0.750, 0.250, 0.500)
Cd (0.250, 0.750, 0.500)

***

## ii
## YCd2Pb2 (PBE)

Data for an optimized crystal structure of YCd2Pb2.

Computed properties:
Spin magnetization in Bohr magnetons per cell: 0.0

Cell: 8.539 8.539 3.811 Å, 90.00 90.00 90.00°
Positions (direct):
Pb (0.356, 0.856, 0.000)
Pb (0.856, 0.644, 0.000)
Pb (0.644, 0.144, 0.000)
Pb (0.144, 0.356, 0.000)
Y (0.000, 0.000, 0.000)
Y (0.500, 0.500, 0.000)
Cd (0.156, 0.656, 0.500)
Cd (0.656, 0.844, 0.500)
Cd (0.844, 0.344, 0.500)
Cd (0.344, 0.156, 0.500)

***

## iii
## YCd2Pb2 (PBE)

Data for an optimized crystal structure of YCd2Pb2.

Computed properties:
Spin magnetization in Bohr magnetons per cell: 0.0

Cell: 4.566 4.619 12.534 Å, 90.00 100.50 90.00°
Positions (direct):
Y (0.356, 0.250, 0.711)
Y (0.644, 0.750, 0.289)
Cd (0.044, 0.750, 0.087)
Cd (0.459, 0.750, 0.918)
Cd (0.956, 0.250, 0.913)
Cd (0.541, 0.250, 0.082)
Pb (0.749, 0.250, 0.499)
Pb (0.251, 0.750, 0.501)
Pb (0.866, 0.750, 0.732)
Pb (0.134, 0.250, 0.268)

***

Most stable structure - iii; separation to the second - 17.7 kJ/mol of atoms.

***

## i
## YCd2Pb2 (PBE)

Data for an optimized crystal structure of YCd2Pb2.

Computed properties:
Spin magnetization in Bohr magnetons per cell: 0.0

Cell: 4.670 4.670 7.465 Å, 71.77 71.77 90.00°
Positions (direct):
Pb (0.750, 0.250, 0.500)
Pb (0.250, 0.750, 0.500)
Y (0.000, 0.000, 0.000)
Cd (0.401, 0.401, 0.198)
Cd (0.599, 0.599, 0.802)

***

## ii
## YCd2Pb2 (PBE)

Data for an optimized crystal structure of YCd2Pb2.

Computed properties:
Spin magnetization in Bohr magnetons per cell: 0.0

Cell: 8.455 8.455 3.849 Å, 90.00 90.00 90.00°
Positions (direct):
Pb (0.181, 0.681, 0.500)
Pb (0.681, 0.819, 0.500)
Pb (0.819, 0.319, 0.500)
Pb (0.319, 0.181, 0.500)
Y (0.000, 0.000, 0.000)
Y (0.500, 0.500, 0.000)
Cd (0.380, 0.880, 0.000)
Cd (0.880, 0.620, 0.000)
Cd (0.620, 0.120, 0.000)
Cd (0.120, 0.380, 0.000)

***

Most stable structure - ii; separation to the second - 11.8 kJ/mol of atoms.